# RbCdTeI2 (PBE-GGA, relaxed)
data_RbCdTeI2
_cell_length_a 6.946
_cell_length_b 6.946
_cell_length_c 7.112
_cell_angle_alpha 90.00
_cell_angle_beta 90.00
_cell_angle_gamma 90.00
_symmetry_space_group_name_H-M 'P 4/m m m'
_symmetry_Int_Tables_number 123
_symmetry_space_group_name_Hall '-P 4 2'
loop_
_atom_site_label
_atom_site_fract_x
_atom_site_fract_y
_atom_site_fract_z
_atom_site_occupancy
Rb1 0.000 0.000 0.000 1
Cd1 0.500 0.500 0.500 1
Te1 0.000 0.000 0.500 1
I1 0.000 0.500 0.000 1
# Energy above the most stable polymorph in this dataset ... 17.59 kcal/mol of atoms
# N(E_F) ... 8.33 states/eV per cell
# Formation energy without anion corrections ... 0.193 eV per atom
# E ... -7.2 eV per cell

# Rb2TiCdI6 (PBE-GGA, relaxed)
data_Rb2TiCdI6
_cell_length_a 8.420
_cell_length_b 8.420
_cell_length_c 11.932
_cell_angle_alpha 90.00
_cell_angle_beta 90.00
_cell_angle_gamma 90.00
_symmetry_space_group_name_H-M 'I 4/m m m'
_symmetry_Int_Tables_number 139
_symmetry_space_group_name_Hall '-I 4 2'
loop_
_atom_site_label
_atom_site_fract_x
_atom_site_fract_y
_atom_site_fract_z
_atom_site_occupancy
Rb1 0.000 0.500 0.250 1
Ti1 0.000 0.000 0.000 1
Cd1 0.000 0.000 0.500 1
I1 0.000 0.000 0.240 1
I2 0.240 0.240 0.000 1
# N(E_F) ... 30.50 states/eV per cell
# Formation energy without anion corrections ... -0.883 eV per atom
# E ... -57.7 eV per cell

# RbTiCd2I (PBE-GGA, relaxed)
data_RbTiCd2I
_cell_length_a 5.534
_cell_length_b 5.534
_cell_length_c 8.100
_cell_angle_alpha 90.00
_cell_angle_beta 90.00
_cell_angle_gamma 90.00
_symmetry_space_group_name_H-M 'P 4/m m m'
_symmetry_Int_Tables_number 123
_symmetry_space_group_name_Hall '-P 4 2'
loop_
_atom_site_label
_atom_site_fract_x
_atom_site_fract_y
_atom_site_fract_z
_atom_site_occupancy
Rb1 0.000 0.000 0.000 1
Ti1 0.000 0.000 0.500 1
Cd1 0.000 0.500 0.500 1
I1 0.500 0.500 0.000 1
# N(E_F) ... 5.39 states/eV per cell
# Formation energy without anion corrections ... 0.328 eV per atom
# E ... -10.6 eV per cell

# Rb3Tl3CdI8 (PBE-GGA, relaxed)
data_Rb3Tl3CdI8
_cell_length_a 10.3113
_cell_length_b 10.3113
_cell_length_c 24.4349
_cell_angle_alpha 90.00
_cell_angle_beta 90.00
_cell_angle_gamma 120.00
_symmetry_space_group_name_H-M 'R -3 m'
_symmetry_Int_Tables_number 166
_symmetry_space_group_name_Hall '-R 3 2"'
loop_
_atom_site_label
_atom_site_fract_x
_atom_site_fract_y
_atom_site_fract_z
_atom_site_occupancy
Rb1 0.0000 0.5000 0.0000 1
Tl1 0.0000 0.5000 0.5000 1
Cd1 0.0000 0.0000 0.0000 1
I1 0.0000 0.0000 0.2464 1
I2 0.0540 0.5270 0.7404 1
# N(E_F) ... 0.00 states/eV per cell
# Formation energy without anion corrections ... -0.968 eV per atom
# E ... -113.5 eV per cell

Q: What is the formula in the first record?
A: RbCdTeI2